## 1
Entry from Alexandria via LeMat-Bulk: a geometry-optimized LiSmTm2 structure (PBE).

## Properties
- Symmetry: P4/mmm, No. 123
- Total magnetization: 0.00 μB/cell
- Calculated volume: 28.3 A^3/atom
- D(E_F): 4.68 states/eV per cell

Unit cell a=3.5915 b=3.5915 c=8.7640 alpha=90.00 beta=90.00 gamma=90.00
With the nearest neighbours (Å) after each atom.
Element x y z (fractional)
Tm (0.0000, 0.0000, 0.7826)  4 Li 3.17, 4 Sm 3.55
Tm (0.0000, 0.0000, 0.2174)  4 Li 3.17, 4 Sm 3.55
Li (0.5000, 0.5000, 0.0000)  8 Tm 3.17
Sm (0.5000, 0.5000, 0.5000)  8 Tm 3.55, 4 Sm 3.59

=====

## 2
Entry from Alexandria via LeMat-Bulk: a geometry-optimized LiSmTm2 structure (PBE).

## Properties
- Symmetry: R3m, No. 160
- Total magnetization: 0.00 μB/cell
- Calculated volume: 29.4 A^3/atom
- D(E_F): 4.49 states/eV per cell

Unit cell a=3.4913 b=3.4913 c=11.3181 alpha=81.13 beta=81.13 gamma=60.00
With the nearest neighbours (Å) after each atom.
Element x y z (fractional)
Li (0.6665, 0.6665, 0.0004)  6 Tm 3.35-3.36, 6 Li 3.49
Tm (0.0803, 0.0803, 0.7592)  3 Li 3.36, 6 Tm 3.49, 3 Sm 3.52
Tm (0.2531, 0.2531, 0.2406)  3 Li 3.35, 6 Tm 3.49, 3 Sm 3.52
Sm (0.5001, 0.5001, 0.4998)  6 Sm 3.49, 6 Tm 3.52

=====

Result of the stability comparison: 1 is the most stable of them.

=====

## 1
Entry from Alexandria via LeMat-Bulk: a geometry-optimized LiSmTm2 structure (PBE).

## Properties
- Symmetry: P4/mmm, No. 123
- Total magnetization: 0.00 μB/cell
- Calculated volume: 28.9 A^3/atom
- D(E_F): 5.86 states/eV per cell

Unit cell a=3.6856 b=5.6003 c=5.6003 alpha=90.00 beta=90.00 gamma=90.00
With the nearest neighbours (Å) after each atom.
Element x y z (fractional)
Tm (0.0000, 0.0000, 0.5000)  4 Li 3.35, 4 Sm 3.35, 2 Tm 3.69
Tm (0.0000, 0.5000, 0.0000)  4 Li 3.35, 4 Sm 3.35, 2 Tm 3.69
Sm (0.5000, 0.5000, 0.5000)  8 Tm 3.35, 2 Sm 3.69
Li (0.5000, 0.0000, 0.0000)  8 Tm 3.35, 2 Li 3.69

=====

## 2
Entry from Alexandria via LeMat-Bulk: a geometry-optimized LiSmTm2 structure (PBE).

## Properties
- Symmetry: R-3m, No. 166
- Total magnetization: 0.00 μB/cell
- Calculated volume: 31.1 A^3/atom
- D(E_F): 5.73 states/eV per cell

Unit cell a=3.4510 b=3.4510 c=12.2160 alpha=81.88 beta=81.88 gamma=60.00
With the nearest neighbours (Å) after each atom.
Element x y z (fractional)
Sm (0.5000, 0.5000, 0.5000)  6 Sm 3.45, 6 Tm 3.47
Tm (0.0881, 0.0881, 0.7357)  1 Li 3.19, 6 Tm 3.45, 3 Sm 3.47
Tm (0.9119, 0.9119, 0.2643)  1 Li 3.19, 6 Tm 3.45, 3 Sm 3.47
Li (0.0000, 0.0000, 0.0000)  2 Tm 3.19, 6 Li 3.45

=====

Result of the stability comparison: 1 is the most stable of them.

=====

## 1
Entry from Alexandria via LeMat-Bulk: a geometry-optimized LiSm2Y structure (PBE).

## Properties
- Symmetry: P4/mmm, No. 123
- Total magnetization: 0.00 μB/cell
- Calculated volume: 30.1 A^3/atom
- D(E_F): 6.05 states/eV per cell

Unit cell a=3.6551 b=3.6551 c=9.0223 alpha=90.00 beta=90.00 gamma=90.00
With the nearest neighbours (Å) after each atom.
Element x y z (fractional)
Sm (0.0000, 0.0000, 0.7756)  4 Li 3.28, 4 Y 3.59, 4 Sm 3.66
Sm (0.0000, 0.0000, 0.2244)  4 Li 3.28, 4 Y 3.59, 4 Sm 3.66
Li (0.5000, 0.5000, 0.0000)  8 Sm 3.28, 4 Li 3.66
Y (0.5000, 0.5000, 0.5000)  8 Sm 3.59, 4 Y 3.66

=====

## 2
Entry from Alexandria via LeMat-Bulk: a geometry-optimized LiSm2Y structure (PBE).

## Properties
- Symmetry: R3m, No. 160
- Total magnetization: 0.00 μB/cell
- Calculated volume: 31.1 A^3/atom
- D(E_F): 3.37 states/eV per cell

Unit cell a=3.5536 b=3.5536 c=11.5678 alpha=81.15 beta=81.15 gamma=59.95
With the nearest neighbours (Å) after each atom.
Element x y z (fractional)
Li (0.4996, 0.4996, 0.5001)  6 Sm 3.46-3.47, 6 Li 3.55
Sm (0.0853, 0.0853, 0.7454)  3 Li 3.46-3.47, 3 Y 3.55, 6 Sm 3.55
Sm (0.2486, 0.2486, 0.2547)  3 Li 3.46-3.47, 6 Sm 3.55, 3 Y 3.55
Y (0.6666, 0.6666, 0.9998)  6 Sm 3.55, 6 Y 3.55

=====

Result of the stability comparison: 1 is the most stable of them.

=====

## 1
Entry from Alexandria via LeMat-Bulk: a geometry-optimized LiSm2Y structure (PBE).

## Properties
- Symmetry: R-3m, No. 166
- Total magnetization: 0.00 μB/cell
- Calculated volume: 31.0 A^3/atom
- D(E_F): 3.52 states/eV per cell

Unit cell a=3.5492 b=3.5492 c=11.5527 alpha=81.16 beta=81.16 gamma=60.00
With the nearest neighbours (Å) after each atom.
Element x y z (fractional)
Li (0.0000, 0.0000, 0.0000)  6 Sm 3.45, 6 Li 3.55
Y (0.5000, 0.5000, 0.5000)  6 Y 3.55, 6 Sm 3.55
Sm (0.7482, 0.7482, 0.7554)  3 Li 3.45, 6 Sm 3.55, 3 Y 3.55
Sm (0.2518, 0.2518, 0.2446)  3 Li 3.45, 6 Sm 3.55, 3 Y 3.55

=====

## 2
Entry from Alexandria via LeMat-Bulk: a geometry-optimized LiSm2Y structure (PBE).

## Properties
- Symmetry: Fm-3m, No. 225
- Total magnetization: 0.00 μB/cell
- Calculated volume: 30.5 A^3/atom
- D(E_F): 4.31 states/eV per cell

Unit cell a=5.5667 b=5.5667 c=5.5667 alpha=60.00 beta=60.00 gamma=60.00
With the nearest neighbours (Å) after each atom.
Element x y z (fractional)
Y (0.0000, 0.0000, 0.0000)  8 Sm 3.41
Li (0.5000, 0.5000, 0.5000)  8 Sm 3.41
Sm (0.7500, 0.7500, 0.7500)  4 Li 3.41, 4 Y 3.41
Sm (0.2500, 0.2500, 0.2500)  4 Li 3.41, 4 Y 3.41

=====

Result of the stability comparison: 1 is the most stable of them.

=====

## 1
Entry from Alexandria via LeMat-Bulk: a geometry-optimized LiSmY structure (PBE).

## Properties
- Symmetry: C2/m, No. 12
- Total magnetization: 0.00 μB/cell
- Calculated volume: 28.7 A^3/atom
- D(E_F): 6.05 states/eV per cell

Unit cell a=3.6591 b=3.6591 c=12.8647 alpha=89.97 beta=89.97 gamma=89.96
With the nearest neighbours (Å) after each atom.
Element x y z (fractional)
Y (0.2493, 0.2493, 0.2879)  5 Li 3.31-3.39, 4 Sm 3.54, 4 Y 3.66
Y (0.7507, 0.7507, 0.7121)  5 Li 3.31-3.39, 4 Sm 3.54, 4 Y 3.66
Li (0.7497, 0.7497, 0.4489)  4 Li 2.90-2.91
Li (0.2503, 0.2503, 0.5511)  4 Li 2.90-2.91
Sm (0.2503, 0.2503, 0.8994)  4 Y 3.54, 8 Sm 3.66
Sm (0.7497, 0.7497, 0.1006)  4 Y 3.54, 8 Sm 3.66

=====

## 2
Entry from Alexandria via LeMat-Bulk: a geometry-optimized LiSmY structure (PBE).

## Properties
- Symmetry: I4mm, No. 107
- Total magnetization: 0.01 μB/cell
- Calculated volume: 28.5 A^3/atom
- D(E_F): 4.35 states/eV per cell

Unit cell a=3.7065 b=3.7065 c=6.7621 alpha=105.91 beta=105.91 gamma=90.00
With the nearest neighbours (Å) after each atom.
Element x y z (fractional)
Li (0.6648, 0.6648, 0.3295)  4 Y 3.22, 4 Sm 3.26
Y (0.0151, 0.0151, 0.0303)  4 Li 3.22, 4 Sm 3.58
Sm (0.3201, 0.3201, 0.6402)  4 Li 3.26, 4 Y 3.58

=====

Result of the stability comparison: 1 is the most stable of them.

=====

## 1
Entry from Alexandria via LeMat-Bulk: a geometry-optimized LiSmZn4 structure (PBE).

## Properties
- Symmetry: P6/mmm, No. 191
- Total magnetization: 0.00 μB/cell
- Calculated volume: 18.5 A^3/atom
- D(E_F): 3.86 states/eV per cell

Unit cell a=4.4105 b=4.4105 c=6.5794 alpha=90.00 beta=90.00 gamma=120.00
With the nearest neighbours (Å) after each atom.
Element x y z (fractional)
Li (0.0000, 0.0000, 0.0000)  12 Zn 2.90
Zn (0.6667, 0.3333, 0.2097)  4 Zn 2.55-2.76
Zn (0.3333, 0.6667, 0.2097)  4 Zn 2.55-2.76
Zn (0.6667, 0.3333, 0.7903)  4 Zn 2.55-2.76
Zn (0.3333, 0.6667, 0.7903)  4 Zn 2.55-2.76
Sm (0.0000, 0.0000, 0.5000)  12 Zn 3.18, 2 Li 3.29

=====

## 2
Entry from Alexandria via LeMat-Bulk: a geometry-optimized LiSmZn4 structure (PBE).

## Properties
- Symmetry: F-43m, No. 216
- Total magnetization: 0.00 μB/cell
- Calculated volume: 18.2 A^3/atom
- D(E_F): 5.22 states/eV per cell

Unit cell a=5.3685 b=5.3685 c=5.3685 alpha=60.00 beta=60.00 gamma=60.00
With the nearest neighbours (Å) after each atom.
Element x y z (fractional)
Zn (0.6246, 0.6246, 0.1263)  6 Zn 2.68-2.69
Zn (0.6246, 0.6246, 0.6246)  6 Zn 2.68-2.69
Zn (0.6246, 0.1263, 0.6246)  6 Zn 2.68-2.69
Zn (0.1263, 0.6246, 0.6246)  6 Zn 2.68-2.69
Li (0.2500, 0.2500, 0.2500)  12 Zn 3.15, 4 Sm 3.29
Sm (0.0000, 0.0000, 0.0000)  12 Zn 3.15, 4 Li 3.29

=====

Result of the stability comparison: 1 is the most stable of them.